[1]
HoTm4In: optimized geometry, PBE.

```
6
Lattice="-2.6613 -4.4369 -0.2720 4.2589 -2.6361 1.3294 -1.8510 0.6594 7.2645" Properties=species:S:1:pos:R:3 pbc="T T T"
Tm 0.7197 -0.8204 6.1303
Tm 1.5210 -4.3575 6.6600
Tm 2.4616 -4.6926 2.9564
Tm 1.6646 -1.1552 2.4290
Ho 3.3212 -2.3063 4.9438
In -1.0631 -2.8769 7.7758
```

Values from the calculation:
Relative energy among the computed polymorphs: 539 meV per atom

***

[2]
Ho3TmIn3: optimized geometry, PBE.

```
28
Lattice="9.2584 0.0000 0.0000 0.0000 9.2584 0.0000 0.0000 0.0000 9.2584" Properties=species:S:1:pos:R:3 pbc="T T T"
In 4.6411 2.2725 1.1700
In 0.0119 2.3567 8.0884
In 1.1700 4.6411 2.2725
In 6.9017 3.4592 4.6173
In 2.2725 1.1700 4.6411
In 9.2465 6.9859 5.7992
In 4.6173 6.9017 3.4592
In 5.7992 9.2465 6.9859
In 6.9859 5.7992 9.2465
In 8.0884 0.0119 2.3567
In 2.3567 8.0884 0.0119
In 3.4592 4.6173 6.9017
Ho 1.6170 7.6414 3.0122
Ho 6.2496 3.0088 7.6379
Ho 3.0088 7.6379 6.2496
Ho 5.2868 0.6577 3.9715
Ho 8.6007 8.6007 8.6007
Ho 7.6414 3.0122 1.6170
Ho 3.9715 5.2868 0.6577
Ho 7.6379 6.2496 3.0088
Ho 1.6204 1.6204 1.6204
Ho 0.6577 3.9715 5.2868
Ho 6.2462 6.2462 6.2462
Ho 3.0122 1.6170 7.6414
Tm 5.3531 8.5345 0.7239
Tm 3.9053 3.9053 3.9053
Tm 0.7239 5.3531 8.5345
Tm 8.5345 0.7239 5.3531
```

Values from the calculation:
Relative energy among the computed polymorphs: 16 meV per atom

***

[3]
Ho5Tm6In: optimized geometry, PBE.

```
12
Lattice="5.8717 0.8264 -1.0656 -2.0921 7.4614 -0.3888 0.2371 1.2767 7.6494" Properties=species:S:1:pos:R:3 pbc="T T T"
Tm 3.9976 2.8130 1.0060
Tm 0.0191 6.7514 5.1891
Tm 1.4282 1.3589 2.8462
Tm 0.6624 3.3922 0.2036
Tm 2.5886 8.2055 3.3488
Tm 3.3543 6.1723 5.9915
Ho 2.0084 4.7822 3.0975
Ho 2.7927 2.6996 5.8043
Ho 1.2240 6.8649 0.3907
Ho -1.3192 5.4090 2.2787
Ho -0.5358 3.3291 4.9819
In 0.0000 0.0000 0.0000
```

Values from the calculation:
E: -4.4160 eV/atom

***

[4]
Ho5Tm12In2: optimized geometry, PBE.

```
19
Lattice="9.1648 0.0000 0.0000 -4.5824 7.5359 1.2265 0.0000 -1.4719 8.0372" Properties=species:S:1:pos:R:3 pbc="T T T"
In 6.2617 0.0000 0.0000
In 2.9031 0.0000 0.0000
Tm -2.8853 4.1504 6.9748
Tm -1.8003 5.1452 3.6469
Tm 4.5824 0.3196 2.7389
Tm 0.0000 -0.0030 7.3409
Tm 1.6971 1.9136 2.2889
Tm 6.3827 0.9188 5.6168
Tm 2.7821 0.9188 5.6168
Tm 7.4677 1.9136 2.2889
Tm 0.0000 5.7444 6.5248
Tm 1.8003 5.1452 3.6469
Tm 4.5824 6.0670 1.9228
Tm 2.8853 4.1504 6.9748
Ho 4.5824 2.8648 0.5098
Ho 4.5824 3.3675 4.0255
Ho 0.0000 -0.7359 4.0186
Ho 0.0000 3.1992 8.7539
Ho 0.0000 2.6965 5.2381
```

Values from the calculation:
E: -4.3201 eV/atom

***

[5]
HoTm3In: optimized geometry, PBE.

```
10
Lattice="-3.2742 -2.3706 2.5122 -1.1178 -2.5450 -3.8585 6.8996 -9.6676 4.3778" Properties=species:S:1:pos:R:3 pbc="T T T"
Ho 1.2111 -3.9405 0.7830
Ho 2.4478 -9.8092 1.3652
Tm -1.0752 -3.4966 -1.7780
Tm 1.2827 -6.8236 2.6639
Tm -2.0884 -3.4740 1.4312
Tm 4.7342 -10.2531 3.9261
Tm 2.4731 -12.6463 3.2292
Tm 2.3762 -6.9261 -0.5158
In 1.3354 -9.6880 4.5380
In -0.9508 -6.4323 0.1224
```

Values from the calculation:
Relative energy among the computed polymorphs: 0 meV per atom

***

[6]
HoTm4In: optimized geometry, PBE.

```
6
Lattice="-2.5604 1.0739 2.1592 -1.7976 -2.9491 -0.6649 6.4181 -6.3388 10.7633" Properties=species:S:1:pos:R:3 pbc="T T T"
Tm 2.2510 -2.2232 3.7750
Tm -1.0480 -2.0547 2.6439
Tm 4.1670 -4.1155 6.9882
Tm 3.1080 -6.1593 9.6137
In 1.0300 -4.1070 6.1288
Ho 0.0000 0.0000 0.0000
```

Values from the calculation:
Relative energy among the computed polymorphs: 0 meV per atom

***

[7]
Ho4Tm3In2: optimized geometry, PBE.

```
9
Lattice="5.2277 0.0004 -0.0013 2.6122 6.1852 0.5170 2.6107 3.3745 8.3273" Properties=species:S:1:pos:R:3 pbc="T T T"
Tm 5.2253 6.1459 3.3006
Tm 5.2253 3.4142 5.5424
Tm 0.0000 0.0000 0.0000
Ho 7.8376 5.8254 5.7785
Ho 5.2273 4.0138 0.5997
Ho 2.6130 3.7347 3.0645
Ho 5.2233 5.5463 8.2433
In 5.2262 1.7285 2.6908
In 5.2244 7.8316 6.1522
```

Values from the calculation:
E: -4.3252 eV/atom

***

[8]
Ho2TmIn3: optimized geometry, PBE.

```
6
Lattice="-1.7361 -2.4665 -1.8403 2.9004 -2.0178 -0.0318 -3.6333 -5.3905 10.6522" Properties=species:S:1:pos:R:3 pbc="T T T"
Ho -2.4428 -6.7301 7.9326
Ho -0.0262 -3.1447 0.8474
Tm -1.2345 -4.9374 4.3900
In -2.4162 -3.5848 7.0839
In 0.0000 0.0000 0.0000
In -1.2171 -1.8057 3.5682
```

Values from the calculation:
E: -4.0871 eV/atom

***

[9]
HoTm2In2: optimized geometry, PBE.

```
10
Lattice="-3.2587 3.7699 -1.7357 1.2301 -1.7419 -6.0928 -4.4518 -7.0296 1.1109" Properties=species:S:1:pos:R:3 pbc="T T T"
Tm -6.4536 -4.3662 -5.3879
Tm -4.8938 -1.8497 -2.8504
Tm -1.3415 -3.4990 -5.0813
Tm 0.0465 -0.7393 -1.6929
Ho -2.1174 -0.1397 -4.3490
Ho -4.7831 -4.2670 -0.2877
In -2.1427 -2.8134 -2.0880
In -2.7809 0.7270 -1.2208
In -4.0680 -2.5701 -5.9658
In -4.1521 -5.0876 -3.2549
```

Values from the calculation:
Relative energy among the computed polymorphs: 59 meV per atom

***

[10]
Ho6TmIn4: optimized geometry, PBE.

```
11
Lattice="7.9548 -0.3425 -0.5037 -3.9816 6.8951 0.5037 -3.9816 -2.0666 6.5974" Properties=species:S:1:pos:R:3 pbc="T T T"
Ho 1.9866 3.2763 0.0000
Ho -0.7837 2.1635 3.1817
Ho -5.6826 5.1339 3.9194
Ho 1.9866 -1.2046 3.0468
Ho 4.1771 0.2598 0.3821
Ho -5.6826 1.7574 6.2154
In 2.0862 1.6995 2.4994
In -3.4393 3.6018 2.0358
In -3.4393 0.5690 4.0980
In -3.1794 3.4443 5.0654
Tm 0.0000 0.0000 0.0000
```

Values from the calculation:
E: -3.9765 eV/atom

***

[11]
Ho5Tm2In5: optimized geometry, PBE.

```
12
Lattice="5.0501 0.0000 0.0000 -2.5250 5.9585 -0.3163 0.0000 -3.5000 11.2412" Properties=species:S:1:pos:R:3 pbc="T T T"
Ho 2.5250 -1.6877 11.1393
Ho 0.0000 1.8466 7.9221
Ho 0.0000 4.1462 -0.2143
Ho 2.5250 -1.7500 5.6206
Ho 2.5250 0.6118 3.0029
In 0.0000 0.3439 5.1258
In 2.5250 2.1146 5.7991
In 2.5250 0.0987 8.5828
In 0.0000 0.0000 0.0000
In 0.0000 2.3597 2.3421
Tm 0.0000 -1.7522 8.4662
Tm 2.5250 4.2107 2.4588
```

Values from the calculation:
E: -4.0939 eV/atom

***

[12]
HoTm2In2: optimized geometry, PBE.

```
10
Lattice="3.6758 0.0000 -0.4930 0.0000 5.2983 0.0000 -0.0214 0.0000 13.8207" Properties=species:S:1:pos:R:3 pbc="T T T"
Tm 2.7911 1.3246 6.8761
Tm 3.4808 1.3246 12.0276
Tm 0.1736 3.9737 1.3002
Tm 0.8633 3.9737 6.4517
In 2.3574 3.9737 3.6539
In 1.2970 1.3246 9.6739
In 1.6351 3.9737 12.2241
In 2.0193 1.3246 1.1037
Ho 0.5411 1.3246 4.0660
Ho 3.1133 3.9737 9.2618
```

Values from the calculation:
Relative energy among the computed polymorphs: 0 meV per atom

***

Calculated total magnetization in order - 0.0; 0.0; 0.0; 0.0; 0.0; 0.0; 0.0; 0.0; 0.0; 0.9; 0.0; 0.0 μB per cell
Calculated DOS at the Fermi energy in order - 8.3; 37.0; 17.7; 27.2; 12.5; 5.7; 9.7; 3.3; 9.4; 13.6; 11.5; 7.9 states/eV per cell